! HgBrO | Alexandria via LeMat-Bulk | GGA-PBE | optimized geometry; values from VASP
! * formation energy (no corrections): -17 kJ/mol of formula units
! * total energy: -2.368 eV/atom
&SYSTEM
  ibrav = 0, nat = 6, ntyp = 3
/
ATOMIC_SPECIES
Hg 200.59 Hg.upf
Br 79.90 Br.upf
O 16.00 O.upf
CELL_PARAMETERS angstrom
4.547 0.000 0.000
0.000 7.062 0.000
-2.205 0.000 4.562
ATOMIC_POSITIONS angstrom
Hg 0.000 0.000 0.000
Hg 0.000 3.531 0.000
Br 0.042 1.766 2.986
Br 2.301 5.297 1.577
O -1.292 5.297 3.903
O 3.635 1.766 0.659

! HgBr2O | Alexandria via LeMat-Bulk | GGA-PBE | optimized geometry; values from VASP
! * formation energy (no corrections): -43 kJ/mol of formula units
! * distance to the lowest polymorph of the same formula: 64 meV per atom
! * total energy: -2.263 eV/atom
&SYSTEM
  ibrav = 0, nat = 4, ntyp = 3
/
ATOMIC_SPECIES
Hg 200.59 Hg.upf
Br 79.90 Br.upf
O 16.00 O.upf
CELL_PARAMETERS angstrom
4.315 0.000 0.000
2.013 4.228 0.000
0.525 -0.216 6.643
ATOMIC_POSITIONS angstrom
Hg 0.000 0.000 0.000
Br 1.912 1.747 1.870
Br 4.411 3.157 5.147
O 3.667 1.243 1.640

! HgBrO | Alexandria via LeMat-Bulk | GGA-PBE | optimized geometry; values from VASP
! * formation energy (no corrections): -68 kJ/mol of formula units
! * total energy: -2.546 eV/atom
&SYSTEM
  ibrav = 0, nat = 12, ntyp = 3
/
ATOMIC_SPECIES
Hg 200.59 Hg.upf
Br 79.90 Br.upf
O 16.00 O.upf
CELL_PARAMETERS angstrom
6.356 0.000 0.000
0.000 6.245 0.000
-0.803 0.000 10.059
ATOMIC_POSITIONS angstrom
Hg 1.050 0.000 0.785
Hg 1.325 3.122 9.274
Hg 4.228 3.122 0.785
Hg 4.503 0.000 9.274
Br 0.017 3.122 2.148
Br 2.358 0.000 7.911
Br 3.195 0.000 2.148
Br 5.536 3.122 7.911
O -0.199 0.000 4.446
O 2.574 3.122 5.612
O 2.979 3.122 4.446
O 5.752 0.000 5.612

! HgBr2O6 | Alexandria via LeMat-Bulk | GGA-PBE | optimized geometry; values from VASP
! * formation energy (no corrections): 102 kJ/mol of formula units
! * total energy: -3.594 eV/atom
&SYSTEM
  ibrav = 0, nat = 18, ntyp = 3
/
ATOMIC_SPECIES
Hg 200.59 Hg.upf
Br 79.90 Br.upf
O 16.00 O.upf
CELL_PARAMETERS angstrom
4.947 -4.656 0.000
4.947 4.656 0.000
-3.073 0.000 7.316
ATOMIC_POSITIONS angstrom
Hg 2.643 3.756 5.487
Hg 4.179 -3.756 1.829
Br 0.746 0.841 5.454
Br 2.282 -0.841 1.796
Br 4.541 0.841 5.520
Br 6.077 -0.841 1.862
O -0.816 0.764 4.726
O 0.809 2.466 5.994
O 0.721 -0.764 1.068
O 1.794 0.758 4.167
O 4.477 2.466 4.980
O 3.330 -0.758 0.509
O 3.492 0.758 6.806
O 2.345 -2.466 2.336
O 5.028 -0.758 3.149
O 6.102 0.764 6.248
O 6.014 -2.466 1.322
O 7.638 -0.764 2.590

! Hg5Br2O4 | Alexandria via LeMat-Bulk | GGA-PBE | optimized geometry; values from VASP
! * formation energy (no corrections): -355 kJ/mol of formula units
! * total energy: -2.579 eV/atom
&SYSTEM
  ibrav = 0, nat = 22, ntyp = 3
/
ATOMIC_SPECIES
Hg 200.59 Hg.upf
Br 79.90 Br.upf
O 16.00 O.upf
CELL_PARAMETERS angstrom
-3.158 6.098 6.013
3.158 -6.098 6.013
3.158 6.098 -6.013
ATOMIC_POSITIONS angstrom
Hg 3.158 -1.941 3.006
Hg 1.366 1.699 0.000
Hg 0.000 0.000 3.006
Hg 1.366 -1.699 6.013
Hg 3.158 1.941 3.006
Hg 0.000 4.157 3.006
Hg 1.793 7.797 0.000
Hg 0.000 0.000 9.019
Hg 1.793 4.399 6.013
Hg 0.000 8.039 3.006
Br 4.603 1.341 0.000
Br 1.445 4.757 0.000
Br 1.713 1.341 6.013
Br -1.445 4.757 6.013
O 5.045 -1.757 2.125
O 1.272 -1.757 3.887
O 1.272 1.757 2.125
O 1.887 7.855 -2.125
O 1.272 -1.757 8.138
O 1.887 4.341 3.887
O 1.887 7.855 2.125
O -1.887 7.855 3.887

! Hg2BrO | Alexandria via LeMat-Bulk | GGA-PBE | optimized geometry; values from VASP
! * formation energy (no corrections): -33 kJ/mol of formula units
! * total energy: -1.894 eV/atom
&SYSTEM
  ibrav = 0, nat = 12, ntyp = 3
/
ATOMIC_SPECIES
Hg 200.59 Hg.upf
Br 79.90 Br.upf
O 16.00 O.upf
CELL_PARAMETERS angstrom
3.861 0.000 0.000
-1.930 3.344 0.000
0.000 0.000 19.765
ATOMIC_POSITIONS angstrom
Hg 0.000 0.000 4.482
Hg 0.000 0.000 15.283
Hg 0.000 2.229 8.695
Hg 0.000 2.229 17.658
Hg 1.930 1.115 2.107
Hg 1.930 1.115 11.070
Br 0.000 0.000 0.000
Br 0.000 2.229 13.176
Br 1.930 1.115 6.588
O 0.000 0.000 9.882
O 0.000 2.229 3.294
O 1.930 1.115 16.471

! HgBr2O | Alexandria via LeMat-Bulk | GGA-PBE | optimized geometry; values from VASP
! * formation energy (no corrections): 224 kJ/mol of formula units
! * distance to the lowest polymorph of the same formula: 754 meV per atom
! * total energy: -1.572 eV/atom
&SYSTEM
  ibrav = 0, nat = 16, ntyp = 3
/
ATOMIC_SPECIES
Hg 200.59 Hg.upf
Br 79.90 Br.upf
O 16.00 O.upf
CELL_PARAMETERS angstrom
7.044 0.000 0.000
0.000 7.044 0.000
0.000 0.000 7.044
ATOMIC_POSITIONS angstrom
Hg 0.000 0.000 0.000
Hg 0.000 3.522 3.522
Hg 3.522 0.000 3.522
Hg 3.522 3.522 0.000
Br 1.761 1.761 1.761
Br 1.761 1.761 5.283
Br 1.761 5.283 1.761
Br 1.761 5.283 5.283
Br 5.283 1.761 1.761
Br 5.283 1.761 5.283
Br 5.283 5.283 1.761
Br 5.283 5.283 5.283
O 0.000 0.000 3.522
O 0.000 3.522 0.000
O 3.522 0.000 0.000
O 3.522 3.522 3.522

! HgBr2O | Alexandria via LeMat-Bulk | GGA-PBE | optimized geometry; values from VASP
! * formation energy (no corrections): 69 kJ/mol of formula units
! * distance to the lowest polymorph of the same formula: 355 meV per atom
! * total energy: -1.971 eV/atom
&SYSTEM
  ibrav = 0, nat = 16, ntyp = 3
/
ATOMIC_SPECIES
Hg 200.59 Hg.upf
Br 79.90 Br.upf
O 16.00 O.upf
CELL_PARAMETERS angstrom
6.957 0.000 0.000
0.000 6.957 0.000
0.000 0.000 9.823
ATOMIC_POSITIONS angstrom
Hg 0.000 1.739 3.684
Hg 0.000 5.217 6.139
Hg 3.478 1.739 1.228
Hg 3.478 5.217 8.595
Br 0.000 0.000 0.000
Br 0.000 3.478 0.000
Br 1.739 1.739 7.367
Br 1.739 5.217 2.456
Br 3.478 0.000 4.911
Br 3.478 3.478 4.911
Br 5.217 1.739 7.367
Br 5.217 5.217 2.456
O 0.000 1.739 8.595
O 0.000 5.217 1.228
O 3.478 1.739 6.139
O 3.478 5.217 3.684

! HgBrO3 | Alexandria via LeMat-Bulk | GGA-PBE | optimized geometry; values from VASP
! * formation energy (no corrections): 16 kJ/mol of formula units
! * total energy: -3.336 eV/atom
&SYSTEM
  ibrav = 0, nat = 20, ntyp = 3
/
ATOMIC_SPECIES
Hg 200.59 Hg.upf
Br 79.90 Br.upf
O 16.00 O.upf
CELL_PARAMETERS angstrom
9.680 -2.437 0.000
9.680 2.437 0.000
-2.381 0.000 8.508
ATOMIC_POSITIONS angstrom
Hg 1.259 0.298 0.062
Hg 0.068 -0.298 4.316
Hg 16.912 0.298 4.192
Hg 15.721 -0.298 8.446
Br 5.921 0.311 1.393
Br 4.731 -0.311 5.647
Br 12.249 0.311 2.861
Br 11.059 -0.311 7.115
O 6.357 1.373 0.081
O 5.552 1.347 2.653
O 6.165 0.452 6.052
O 11.813 1.373 4.173
O 12.619 1.347 1.601
O 7.356 -0.452 1.798
O 9.624 0.452 6.710
O 4.361 -1.347 6.907
O 5.166 -1.373 4.335
O 10.815 -0.452 2.456
O 11.428 -1.347 5.855
O 10.623 -1.373 8.427

! Hg2BrO | Alexandria via LeMat-Bulk | GGA-PBE | optimized geometry; values from VASP
! * formation energy (no corrections): -85 kJ/mol of formula units
! * total energy: -2.029 eV/atom
&SYSTEM
  ibrav = 0, nat = 16, ntyp = 3
/
ATOMIC_SPECIES
Hg 200.59 Hg.upf
Br 79.90 Br.upf
O 16.00 O.upf
CELL_PARAMETERS angstrom
5.969 0.000 0.000
0.000 5.969 0.000
0.000 0.000 12.063
ATOMIC_POSITIONS angstrom
Hg 0.818 1.492 1.508
Hg 1.492 3.802 4.524
Hg 1.492 5.151 10.555
Hg 2.167 1.492 7.539
Hg 3.802 4.476 7.539
Hg 4.476 0.818 10.555
Hg 4.476 2.167 4.524
Hg 5.151 4.476 1.508
Br 0.000 0.000 6.031
Br 0.000 2.984 9.047
Br 2.984 0.000 3.016
Br 2.984 2.984 0.000
O 0.000 0.000 0.000
O 0.000 2.984 3.016
O 2.984 0.000 9.047
O 2.984 2.984 6.031

! Hg2BrO | Alexandria via LeMat-Bulk | GGA-PBE | optimized geometry; values from VASP
! * formation energy (no corrections): -79 kJ/mol of formula units
! * total energy: -2.013 eV/atom
&SYSTEM
  ibrav = 0, nat = 12, ntyp = 3
/
ATOMIC_SPECIES
Hg 200.59 Hg.upf
Br 79.90 Br.upf
O 16.00 O.upf
CELL_PARAMETERS angstrom
6.884 0.000 0.000
-3.442 5.962 0.000
0.000 0.000 8.227
ATOMIC_POSITIONS angstrom
Hg -0.296 2.579 2.829
Hg -1.061 4.929 0.086
Hg 2.381 1.033 5.399
Hg 1.357 4.416 5.571
Hg 3.146 3.383 2.656
Hg 4.799 1.546 8.141
Br -2.527 4.377 5.485
Br 0.915 1.584 0.000
Br 5.055 0.000 2.742
O -1.910 3.309 1.371
O 1.532 2.653 4.114
O 3.821 0.000 6.856

! Hg2BrO | Alexandria via LeMat-Bulk | GGA-PBE | optimized geometry; values from VASP
! * formation energy (no corrections): -117 kJ/mol of formula units
! * total energy: -2.113 eV/atom
&SYSTEM
  ibrav = 0, nat = 8, ntyp = 3
/
ATOMIC_SPECIES
Hg 200.59 Hg.upf
Br 79.90 Br.upf
O 16.00 O.upf
CELL_PARAMETERS angstrom
6.036 0.000 0.000
0.006 6.250 0.000
3.016 0.871 6.979
ATOMIC_POSITIONS angstrom
Hg 0.000 0.000 0.000
Hg 3.026 3.493 6.840
Hg 2.974 4.095 1.584
Hg 5.989 5.653 5.255
Br 1.898 3.335 3.694
Br 4.913 6.420 3.148
O 4.217 5.307 6.910
O 7.269 5.308 6.908